# 1
# YZrAs2, optimized geometry, DFT PBE-GGA
data_YZrAs2
_cell_length_a 6.952
_cell_length_b 6.952
_cell_length_c 6.952
_cell_angle_alpha 90.00
_cell_angle_beta 90.00
_cell_angle_gamma 90.00
_symmetry_space_group_name_H-M 'F -4 3 m'
_symmetry_Int_Tables_number 216
_symmetry_space_group_name_Hall 'F -4 2 3'
loop_
_atom_site_label
_atom_site_type_symbol
_atom_site_fract_x
_atom_site_fract_y
_atom_site_fract_z
_atom_site_occupancy
Y1 Y 0.000 0.000 0.000 1
Zr1 Zr 0.250 0.250 0.250 1
As1 As 0.000 0.000 0.500 1
As2 As 0.250 0.250 0.750 1
# ΔH_f (0 K): -151 meV/atom
# total magnetic moment: 0.369 μB per formula unit
# excess energy over the best structure of this formula in the dataset: 1174 meV per atom
# V: 84 Å³/f.u.

=====

# 2
# Zn2Pt9Rh, optimized geometry, DFT PBE-GGA
data_Zn2Pt9Rh
_cell_length_a 3.930
_cell_length_b 3.930
_cell_length_c 11.828
_cell_angle_alpha 90.00
_cell_angle_beta 90.00
_cell_angle_gamma 90.00
_symmetry_space_group_name_H-M 'P 4/m m m'
_symmetry_Int_Tables_number 123
_symmetry_space_group_name_Hall '-P 4 2'
loop_
_atom_site_label
_atom_site_type_symbol
_atom_site_fract_x
_atom_site_fract_y
_atom_site_fract_z
_atom_site_occupancy
Zn1 Zn 0.000 0.000 0.165 1
Pt1 Pt 0.000 0.500 0.000 1
Pt2 Pt 0.000 0.500 0.331 1
Pt3 Pt 0.500 0.500 0.165 1
Pt4 Pt 0.500 0.500 0.500 1
Rh1 Rh 0.000 0.000 0.500 1
# ΔH_f (0 K): -234 meV/atom
# total magnetic moment: 0.744 μB per formula unit
# V: 183 Å³/f.u.

=====

# 3
# GaPb2Au5, optimized geometry, DFT PBE-GGA
data_GaPb2Au5
_cell_length_a 5.747
_cell_length_b 5.790
_cell_length_c 6.860
_cell_angle_alpha 92.95
_cell_angle_beta 112.14
_cell_angle_gamma 119.09
_symmetry_space_group_name_H-M 'P 1'
_symmetry_Int_Tables_number 1
_symmetry_space_group_name_Hall 'P 1'
loop_
_atom_site_label
_atom_site_type_symbol
_atom_site_fract_x
_atom_site_fract_y
_atom_site_fract_z
_atom_site_occupancy
Ga1 Ga 0.000 0.000 0.000 1
Pb1 Pb 0.454 0.711 0.165 1
Pb2 Pb 0.625 0.268 0.897 1
Au1 Au 0.038 0.690 0.726 1
Au2 Au 0.058 0.784 0.331 1
Au3 Au 0.468 0.647 0.628 1
Au4 Au 0.547 0.274 0.333 1
Au5 Au 0.978 0.160 0.629 1
# ΔH_f (0 K): -52 meV/atom
# total magnetic moment: 0.000 μB per formula unit
# V: 177 Å³/f.u.